No. 1
Pm4SiCBr2 after structural relaxation. Source: the Alexandria database, functional PBE.

Lattice parameters (Å, degrees): 7.030 3.999 7.728 90.00 107.61 90.00
Positions (direct):
Pm (0.208, 0.000, 0.188)
Pm (0.238, 0.500, 0.802)
Pm (0.762, 0.500, 0.198)
Pm (0.792, 0.000, 0.812)
Si (0.500, 0.000, 0.000)
C (0.000, 0.500, 0.000)
Br (0.000, 0.000, 0.500)
Br (0.500, 0.500, 0.500)

The uncorrected formation energy comes out at -21.98 kcal/mol of atoms. The crystal system is monoclinic. The value obtained for the total energy is -44.62 eV per cell.

=====

No. 2
Na2DyTeS4 after structural relaxation. Source: the Alexandria database, functional PBE.

Lattice parameters (Å, degrees): 7.925 7.925 7.972 117.28 117.28 89.55
Positions (direct):
Na (0.000, 0.000, 0.000)
Na (0.000, 0.000, 0.500)
Na (0.000, 0.500, 0.000)
Na (0.500, 0.000, 0.500)
Dy (0.500, 0.500, 0.000)
Dy (0.500, 0.500, 0.500)
Te (0.000, 0.500, 0.500)
Te (0.500, 0.000, 0.000)
S (0.226, 0.716, 0.475)
S (0.266, 0.285, 0.543)
S (0.284, 0.774, 0.025)
S (0.285, 0.266, 0.043)
S (0.715, 0.734, 0.957)
S (0.716, 0.226, 0.975)
S (0.734, 0.715, 0.457)
S (0.774, 0.284, 0.525)

The uncorrected formation energy comes out at -24.96 kcal/mol of atoms. The crystal system is monoclinic. The value obtained for the total energy is -71.10 eV per cell.

=====

No. 3
AcErLuSc after structural relaxation. Source: the Alexandria database, functional PBE.

Lattice parameters (Å, degrees): 5.653 5.653 5.653 60.00 60.00 60.00
Positions (direct):
Ac (0.000, 0.000, 0.000)
Er (0.500, 0.500, 0.500)
Lu (0.750, 0.750, 0.750)
Sc (0.250, 0.250, 0.250)

For the energy of formation, the calculation gives 0.5 eV/f.u. The crystal system is cubic. The value obtained for the total energy is -19.06 eV per cell.

=====

No. 4
LaNd3Os after structural relaxation. Source: the Alexandria database, functional PBE.

Lattice parameters (Å, degrees): 7.546 7.546 8.496 123.86 123.86 72.02
Positions (direct):
La (0.049, 0.049, 0.341)
La (0.951, 0.951, 0.659)
Nd (0.053, 0.451, 0.206)
Nd (0.448, 0.448, 0.747)
Nd (0.451, 0.053, 0.206)
Nd (0.549, 0.947, 0.794)
Nd (0.552, 0.552, 0.253)
Nd (0.947, 0.549, 0.794)
Os (0.246, 0.246, 0.881)
Os (0.754, 0.754, 0.119)

The calculation puts the energy above the most stable polymorph in this dataset at 0 meV/atom. For the energy of formation, the calculation gives -0.5 eV/f.u. The crystal system is monoclinic. The value obtained for the total energy is -61.85 eV per cell.

=====

No. 5
Ga2Fe2Bi after structural relaxation. Source: the Alexandria database, functional PBE.

Lattice parameters (Å, degrees): 6.572 6.572 6.572 146.01 146.01 48.82
Positions (direct):
Ga (0.116, 0.116, 0.000)
Ga (0.884, 0.884, 0.000)
Fe (0.250, 0.750, 0.500)
Fe (0.750, 0.250, 0.500)
Bi (0.500, 0.500, 0.000)

The calculation puts the energy above the most stable polymorph in this dataset at 0 meV/atom. For the energy of formation, the calculation gives 1.3 eV/f.u. The crystal system is tetragonal. The value obtained for the total energy is -25.52 eV per cell.

=====

No. 6
Tc2MoH after structural relaxation. Source: the Alexandria database, functional PBE.

Lattice parameters (Å, degrees): 2.824 2.824 6.167 90.00 90.00 90.00
Positions (direct):
Tc (0.000, 0.000, 0.195)
Tc (0.000, 0.000, 0.805)
Mo (0.500, 0.500, 0.500)
H (0.500, 0.500, 0.000)

The calculation puts the energy above the most stable polymorph in this dataset at 331 meV/atom. The crystal system is tetragonal. The value obtained for the total energy is -33.32 eV per cell.

=====

No. 7
SmDyHoEr after structural relaxation. Source: the Alexandria database, functional PBE.

Lattice parameters (Å, degrees): 3.437 5.583 6.695 90.00 90.00 90.00
Positions (direct):
Sm (0.000, 0.000, 0.000)
Dy (0.000, 0.500, 0.257)
Ho (0.000, 0.000, 0.518)
Er (0.500, 0.500, 0.753)

The calculation puts the energy above the most stable polymorph in this dataset at 59 meV/atom. For the energy of formation, the calculation gives 0.8 eV/f.u. The crystal system is orthorhombic. The value obtained for the total energy is -17.69 eV per cell.

=====

No. 8
Pr3Sm2Er6 after structural relaxation. Source: the Alexandria database, functional PBE.

Lattice parameters (Å, degrees): 6.187 6.187 11.631 95.11 95.11 120.10
Positions (direct):
Pr (0.000, 0.000, 0.000)
Pr (0.336, 0.664, 0.000)
Pr (0.664, 0.336, 0.000)
Sm (0.166, 0.834, 0.500)
Sm (0.834, 0.166, 0.500)
Er (0.085, 0.418, 0.253)
Er (0.250, 0.250, 0.747)
Er (0.418, 0.085, 0.253)
Er (0.582, 0.915, 0.747)
Er (0.750, 0.750, 0.253)
Er (0.915, 0.582, 0.747)

The calculation puts the energy above the most stable polymorph in this dataset at 0 meV/atom. For the energy of formation, the calculation gives 2.2 eV/f.u. The crystal system is monoclinic. The value obtained for the total energy is -49.00 eV per cell.

=====

No. 9
Pm3SmGa2 after structural relaxation. Source: the Alexandria database, functional PBE.

Lattice parameters (Å, degrees): 8.938 8.938 8.938 133.81 69.76 130.82
Positions (direct):
Pm (0.026, 0.750, 0.276)
Pm (0.250, 0.250, 0.000)
Pm (0.474, 0.750, 0.724)
Pm (0.526, 0.250, 0.276)
Pm (0.750, 0.750, 0.000)
Pm (0.974, 0.250, 0.724)
Sm (0.000, 0.500, 0.500)
Sm (0.500, 0.000, 0.500)
Ga (0.137, 0.199, 0.336)
Ga (0.363, 0.699, 0.063)
Ga (0.637, 0.301, 0.937)
Ga (0.863, 0.801, 0.664)

The calculation puts the energy above the most stable polymorph in this dataset at 214 meV/atom. For the energy of formation, the calculation gives -1.1 eV/f.u. The crystal system is orthorhombic. The value obtained for the total energy is -52.28 eV per cell.

=====

No. 10
Li3YAl after structural relaxation. Source: the Alexandria database, functional PBE.

Lattice parameters (Å, degrees): 5.421 5.421 5.421 90.00 90.00 90.00
Positions (direct):
Li (0.000, 0.000, 0.500)
Li (0.000, 0.500, 0.000)
Li (0.500, 0.000, 0.000)
Y (0.000, 0.000, 0.000)
Al (0.500, 0.500, 0.500)

The calculation puts the energy above the most stable polymorph in this dataset at 986 meV/atom. For the energy of formation, the calculation gives 6.0 eV/f.u. The crystal system is cubic. The value obtained for the total energy is -9.91 eV per cell.

=====

No. 11
KRb3Au4 after structural relaxation. Source: the Alexandria database, functional PBE.

Lattice parameters (Å, degrees): 4.132 5.840 11.666 90.00 90.00 90.00
Positions (direct):
K (0.000, 0.000, 0.000)
Rb (0.000, 0.000, 0.500)
Rb (0.000, 0.500, 0.248)
Rb (0.000, 0.500, 0.752)
Au (0.500, 0.000, 0.241)
Au (0.500, 0.000, 0.759)
Au (0.500, 0.500, 0.000)
Au (0.500, 0.500, 0.500)

For the energy of formation, the calculation gives -2.2 eV/f.u. The crystal system is orthorhombic. The value obtained for the total energy is -19.31 eV per cell.

=====

No. 12
PrGdGaRu after structural relaxation. Source: the Alexandria database, functional PBE.

Lattice parameters (Å, degrees): 5.065 5.065 5.065 60.00 60.00 60.00
Positions (direct):
Pr (0.000, 0.000, 0.000)
Gd (0.500, 0.500, 0.500)
Ga (0.250, 0.250, 0.250)
Ru (0.750, 0.750, 0.750)

For the energy of formation, the calculation gives -1.3 eV/f.u. The crystal system is cubic. The value obtained for the total energy is -32.48 eV per cell.